YZnCuW (PBE-GGA, optimized geometry); theoretical density = 9.13 g cm⁻³; formation energy = 650 meV per atom; volume = 18.26 Å³/atom
1.0
2.0044 0.5881 4.2012
-2.4500 1.8967 3.5233
-1.3334 -2.6591 3.6283
Cu Zn W Y
1 1 1 1
Direct
0.7500 0.7500 0.7500 Cu
0.0000 0.0000 0.0000 Zn
0.2500 0.2500 0.2500 W
0.5000 0.5000 0.5000 Y